# LaInRe

LaInRe after structural relaxation (PBEsol, Alexandria).

Cell: 4.761 4.761 4.761 Å, 60.00 60.00 60.00°
Last column: magnetic moment on the atom in μB.
Sites, in units of the cell vectors:
Re 0.500 0.500 0.500  0.12
In 0.250 0.250 0.250  -0.01
La 0.000 0.000 0.000  -0.01

Computed properties:
Its formation energy is 883 meV per atom. The value obtained for the total magnetic moment is 0.14 Bohr magnetons per cell.

***

# NaSr2LaTi4O12

NaSr2LaTi4O12 after structural relaxation (PBEsol, Alexandria).

Cell: 5.457 5.457 7.816 Å, 90.00 90.00 90.00°
Sites, in units of the cell vectors:
O 0.281 0.719 0.751
O 0.500 0.000 0.500
Ti 0.500 0.000 0.752
Na 0.500 0.500 0.000
O 0.792 0.792 0.756
O 0.500 0.000 0.000
La 0.000 0.000 0.000
O 0.719 0.281 0.751
Ti 0.000 0.500 0.752
O 0.208 0.792 0.244
O 0.000 0.500 0.000
O 0.719 0.719 0.249
Ti 0.500 0.000 0.248
O 0.208 0.208 0.756
O 0.000 0.500 0.500
O 0.792 0.208 0.244
Sr 0.500 0.500 0.500
O 0.281 0.281 0.249
Ti 0.000 0.500 0.248
Sr 0.000 0.000 0.500

Computed properties:
The value obtained for the energy relative to the elements, uncorrected is -302 kJ/mol of atoms. As for the excess energy over the best structure of this formula in the dataset: 0.0000 eV/atom. The value obtained for the total magnetic moment is 0.00 Bohr magnetons per cell.

***

# TaZnCu

TaZnCu after structural relaxation (PBEsol, Alexandria).

Cell: 2.802 2.802 5.743 Å, 104.13 104.13 89.97°
Sites, in units of the cell vectors:
Ta 0.664 0.664 0.327
Cu 0.990 0.990 0.981
Zn 0.346 0.346 0.692

Computed properties:
Its formation energy is -15 meV per atom. The value obtained for the total magnetic moment is 0.00 Bohr magnetons per cell.